w | The following is a DFT calculation (PBE) of a relaxed structure of CaMnGaP.

a = 4.595 Å, b = 4.187 Å, c = 4.818 Å
α = 90.00°, β = 112.01°, γ = 90.00°
Last column: magnetic moment on the atom in μB.
Positions (direct):
Ca 0.500 0.500 0.500  -0.01
Mn 0.000 0.000 0.000  2.93
Ga 0.000 0.000 0.500  -0.09
P 0.500 0.000 0.000  -0.04

Magnetization = 2.869 Bohr magnetons per cell

=====

x | The following is a DFT calculation (PBE) of a relaxed structure of CaMnGaP.

a = 3.426 Å, b = 3.773 Å, c = 11.801 Å
α = 90.00°, β = 90.00°, γ = 90.00°
Last column: magnetic moment on the atom in μB.
Positions (direct):
Ca 0.500 0.000 0.864  0.02
Ca 0.500 0.500 0.364  0.02
Mn 0.500 0.000 0.603  2.47
Mn 0.500 0.500 0.103  2.47
Ga 0.000 0.000 0.152  -0.09
Ga 0.000 0.500 0.652  -0.09
P 0.000 0.000 0.473  -0.02
P 0.000 0.500 0.973  -0.02

Magnetization = 5.041 Bohr magnetons per cell

=====

Most favorable structure: x. The second most favorable one is 0.146 eV/atom above it.

=====

w | The following is a DFT calculation (PBE) of a relaxed structure of CaMnGaP.

a = 4.706 Å, b = 4.706 Å, c = 4.496 Å
α = 90.00°, β = 90.00°, γ = 120.00°
Last column: magnetic moment on the atom in μB.
Positions (direct):
Ca 0.667 0.333 0.363  0.00
Mn 0.000 0.000 0.864  3.02
Ga 0.333 0.667 0.863  -0.10
P 0.000 0.000 0.364  -0.02

Magnetization = 2.919 Bohr magnetons per cell

=====

x | The following is a DFT calculation (PBE) of a relaxed structure of CaMnGaP.

a = 2.996 Å, b = 2.996 Å, c = 7.110 Å
α = 90.00°, β = 90.00°, γ = 90.00°
Positions (direct):
Ca 0.000 0.000 0.563
Mn 0.000 0.000 0.003
Ga 0.500 0.500 0.241
P 0.500 0.500 0.860

Magnetization = 0.000 Bohr magnetons per cell

=====

Most favorable structure: x. The second most favorable one is 0.022 eV/atom above it.

=====

w | The following is a DFT calculation (PBE) of a relaxed structure of Ca3GaMo.

a = 5.499 Å, b = 5.499 Å, c = 5.499 Å
α = 90.00°, β = 90.00°, γ = 90.00°
Last column: magnetic moment on the atom in μB.
Positions (direct):
Mo 0.000 0.000 0.000  0.83
Ca 0.000 0.500 0.000  0.04
Ca 0.000 0.000 0.500  0.01
Ca 0.500 0.000 0.000  0.02
Ga 0.500 0.500 0.500  0.01

Magnetization = 1.004 Bohr magnetons per cell

=====

x | The following is a DFT calculation (PBE) of a relaxed structure of Ca3GaMo.

a = 5.679 Å, b = 5.679 Å, c = 5.679 Å
α = 90.00°, β = 90.00°, γ = 90.00°
Last column: magnetic moment on the atom in μB.
Positions (direct):
Mo 0.500 0.500 0.500  3.69
Ca 0.000 0.500 0.000  0.00
Ca 0.000 0.000 0.500  0.01
Ca 0.500 0.000 0.000  0.01
Ga 0.000 0.000 0.000  0.02

Magnetization = 4.893 Bohr magnetons per cell

=====

Most favorable structure: x. The second most favorable one is 0.054 eV/atom above it.